Material: InSnN2O
Method: DFT, SCAN
State: PBEsol geometry

Structure (extended XYZ):
```
5
Lattice="4.2428 0.0000 0.0000 0.0000 4.2428 0.0000 0.0000 0.0000 4.1675" Properties=species:S:1:pos:R:3 pbc="T T T"
In 0.0000 0.0000 0.0000
Sn 2.1214 2.1214 2.0838
N 0.0000 2.1214 0.0000
N 2.1214 0.0000 0.0000
O 0.0000 0.0000 2.0838
```

Output
Calculated volume (Å³/atom): 15.00
ΔE_f (raw) (eV per formula unit): 4.13

Material: NiMoW2
Method: DFT, SCAN
State: PBEsol geometry

Structure (extended XYZ):
```
4
Lattice="-1.9705 1.9705 3.6981 1.9705 -1.9705 3.6981 1.9705 1.9705 -3.6981" Properties=species:S:1:pos:R:3 pbc="T T T"
Ni 0.0000 0.0000 0.0000
Mo 0.0000 0.0000 3.6981
W 1.9705 0.0000 1.8490
W 0.0000 1.9705 1.8490
```

Output
Formation energy (kJ/mol of formula units): 96
Calculated volume (Å³/atom): 14.36
Offset from the most stable computed form (kJ per mole of atoms): 5.7

Material: BaLa2Se
Method: DFT, SCAN
State: PBEsol geometry

Structure (extended XYZ):
```
4
Lattice="4.0165 0.0000 0.0000 0.0000 4.0165 0.0000 0.0000 0.0000 8.6811" Properties=species:S:1:pos:R:3 pbc="T T T"
Ba 0.0000 0.0000 0.0000
La 0.0000 0.0000 5.1738
La 2.0082 2.0082 2.9406
Se 2.0082 2.0082 6.1730
```

Output
Calculated volume (Å³/atom): 35.01
ΔE_f (raw) (eV per formula unit): -3.52

Material: LaCd2Pt
Method: DFT, SCAN
State: PBEsol geometry

Structure (extended XYZ):
```
4
Lattice="1.5764 0.9101 9.9406 -1.5764 0.9101 9.9406 0.0000 -1.8202 9.9406" Properties=species:S:1:pos:R:3 pbc="T T T"
La 0.0000 0.0000 0.0000
Cd 0.0000 0.0000 7.0784
Cd 0.0000 0.0000 22.7435
Pt 0.0000 0.0000 14.9110
```

Output
Formation energy (kJ/mol of formula units): -38
Calculated volume (Å³/atom): 21.39

Material: BIr3Os
Method: DFT, SCAN
State: PBEsol geometry

Structure (extended XYZ):
```
5
Lattice="4.6838 0.0000 0.0000 0.0000 4.6838 0.0000 0.0000 0.0000 4.6838" Properties=species:S:1:pos:R:3 pbc="T T T"
B 0.0000 0.0000 0.0000
Ir 0.0000 2.3419 2.3419
Ir 2.3419 0.0000 2.3419
Ir 2.3419 2.3419 0.0000
Os 2.3419 2.3419 2.3419
```

Output
Formation energy (kJ/mol of formula units): 1338
Calculated volume (Å³/atom): 20.55

Material: Al2SbH
Method: DFT, SCAN
State: PBEsol geometry

Structure (extended XYZ):
```
4
Lattice="0.0000 3.2754 3.2754 3.2754 0.0000 3.2754 3.2754 3.2754 0.0000" Properties=species:S:1:pos:R:3 pbc="T T T"
Al 1.6377 1.6377 1.6377
Al 4.9131 4.9131 4.9131
Sb 0.0000 0.0000 0.0000
H 3.2754 3.2754 3.2754
```

Output
Calculated volume (Å³/atom): 17.57

Material: Ti2Al2Pt
Method: DFT, SCAN
State: PBEsol geometry

Structure (extended XYZ):
```
10
Lattice="6.3180 0.0000 0.0000 0.0000 6.3180 0.0000 0.0000 0.0000 3.9618" Properties=species:S:1:pos:R:3 pbc="T T T"
Ti 1.0352 2.1238 0.0000
Ti 2.1238 5.2828 0.0000
Ti 4.1942 1.0352 0.0000
Ti 5.2828 4.1942 0.0000
Al 0.8864 4.0454 1.9809
Al 2.2726 0.8864 1.9809
Al 4.0454 5.4316 1.9809
Al 5.4316 2.2726 1.9809
Pt 0.0000 0.0000 1.9809
Pt 3.1590 3.1590 1.9809
```

Output
Formation energy (kJ/mol of formula units): -371
Calculated volume (Å³/atom): 15.81

Material: Tl2SbPb
Method: DFT, SCAN
State: PBEsol geometry

Structure (extended XYZ):
```
4
Lattice="5.9243 -1.7525 0.0000 5.9243 1.7525 0.0000 -1.7881 0.0000 5.4748" Properties=species:S:1:pos:R:3 pbc="T T T"
Tl 2.4442 0.0000 1.3418
Tl 7.6163 0.0000 4.1330
Sb 5.9243 0.0000 0.0000
Pb -0.8940 0.0000 2.7374
```

Output
Calculated volume (Å³/atom): 28.42
Offset from the most stable computed form (kJ per mole of atoms): 4.7
ΔE_f (raw) (eV per formula unit): 0.22

Material: LiLa4Ru
Method: DFT, SCAN
State: PBEsol geometry

Structure (extended XYZ):
```
6
Lattice="0.0000 4.3597 4.3597 4.3597 0.0000 4.3597 4.3597 4.3597 0.0000" Properties=species:S:1:pos:R:3 pbc="T T T"
Li 0.0000 0.0000 0.0000
La 3.2852 3.2852 3.2852
La 5.4343 5.4343 3.2852
La 5.4343 3.2852 5.4343
La 3.2852 5.4343 5.4343
Ru 6.5396 6.5396 6.5396
```

Output
Formation energy (kJ/mol of formula units): 459
Calculated volume (Å³/atom): 27.62

Material: Sc3NbBr
Method: DFT, SCAN
State: PBEsol geometry

Structure (extended XYZ):
```
5
Lattice="5.1266 0.0000 0.0000 0.0000 5.1266 0.0000 0.0000 0.0000 5.1266" Properties=species:S:1:pos:R:3 pbc="T T T"
Sc 0.0000 0.0000 2.5633
Sc 0.0000 2.5633 0.0000
Sc 2.5633 0.0000 0.0000
Nb 0.0000 0.0000 0.0000
Br 2.5633 2.5633 2.5633
```

Output
Calculated volume (Å³/atom): 26.95
ΔE_f (raw) (eV per formula unit): 2.76

Material: In2MoAs
Method: DFT, SCAN
State: PBEsol geometry

Structure (extended XYZ):
```
4
Lattice="3.7163 0.0000 0.0000 0.0000 3.7163 0.0000 0.0000 0.0000 5.4385" Properties=species:S:1:pos:R:3 pbc="T T T"
In 0.0000 0.0000 1.3401
In 0.0000 0.0000 4.0984
Mo 1.8582 1.8582 0.0000
As 1.8582 1.8582 2.7192
```

Output
Formation energy (kJ/mol of formula units): 142
Calculated volume (Å³/atom): 18.78

Material: Sr2Mo
Method: DFT, SCAN
State: PBEsol geometry

Structure (extended XYZ):
```
6
Lattice="-1.6076 1.6076 16.8411 1.6076 -1.6076 16.8411 1.6076 1.6076 -16.8411" Properties=species:S:1:pos:R:3 pbc="T T T"
Sr 1.6076 0.8038 1.8743
Sr 1.6076 0.8038 6.5463
Sr 0.0000 0.8038 10.2948
Sr 0.0000 0.8038 14.9668
Mo 1.6076 -0.8038 12.6308
Mo 0.0000 2.4115 4.2103
```

Output
Formation energy (kJ/mol of formula units): 331
Calculated volume (Å³/atom): 29.02
Offset from the most stable computed form (kJ per mole of atoms): 33.1

In order of appearance, energy = -89.99, -189.44, -149.36, -174.52, -278.74, -54.09, -121.61, -257.54, -204.88, -92.54, -120.38, -76.01 eV per formula unit.